(1)
Computed, not measured: a geometry-optimized LaMnTc structure at the GGA-PBEsol level of DFT.

a = 4.4219 Å, b = 4.4219 Å, c = 4.4219 Å
α = 60.00°, β = 60.00°, γ = 60.00°
Site moments in Bohr magnetons follow the coordinates.
Sites, in units of the cell vectors:
La  0.2500  0.2500  0.2500  0.00
Mn  0.0000  0.0000  0.0000  -3.21
Tc  0.5000  0.5000  0.5000  -0.93

Values from the calculation:
Energy relative to the elements, eV/atom: 1.42
ΔE to the lowest computed polymorph, meV/atom: 645
Space group: F-43m
D(E_F), states/eV/cell: 4.2



(2)
Computed, not measured: a geometry-optimized TaRe2Ag structure at the GGA-PBEsol level of DFT.

a = 2.7646 Å, b = 4.9129 Å, c = 4.9129 Å
α = 110.78°, β = 90.00°, γ = 90.00°
Sites, in units of the cell vectors:
Re  0.0000  0.5000  0.0000
Re  0.0000  0.0000  0.5000
Ag  0.5000  0.5000  0.5000
Ta  0.5000  0.0000  0.0000

Values from the calculation:
Energy relative to the elements, eV/atom: 0.41
ΔE to the lowest computed polymorph, meV/atom: 24
Space group: Cmmm
D(E_F), states/eV/cell: 3.0



(3)
Computed, not measured: a geometry-optimized Th2NiB10 structure at the GGA-PBEsol level of DFT.

a = 4.1583 Å, b = 5.6019 Å, c = 11.1315 Å
α = 90.00°, β = 90.00°, γ = 90.00°
Sites, in units of the cell vectors:
Th  0.5000  0.3091  0.8631
Th  0.5000  0.6909  0.1369
Th  0.5000  0.8091  0.6369
Th  0.5000  0.1909  0.3631
Ni  0.0000  0.5000  0.5000
Ni  0.0000  0.0000  0.0000
B  0.0000  0.1261  0.5401
B  0.0000  0.8739  0.4599
B  0.0000  0.6261  0.9599
B  0.0000  0.3739  0.0401
B  0.0000  0.1551  0.6973
B  0.0000  0.8449  0.3027
B  0.3004  0.1996  0.1134
B  0.3004  0.8004  0.8866
B  0.6996  0.6996  0.3866
B  0.6996  0.3004  0.6134
B  0.6996  0.8004  0.8866
B  0.6996  0.1996  0.1134
B  0.3004  0.3004  0.6134
B  0.3004  0.6996  0.3866
B  0.0000  0.0329  0.1877
B  0.0000  0.9671  0.8123
B  0.0000  0.5329  0.3123
B  0.0000  0.4671  0.6877
B  0.0000  0.3449  0.1973
B  0.0000  0.6551  0.8027

Values from the calculation:
Energy relative to the elements, eV/atom: -0.64
Space group: Pbam
D(E_F), states/eV/cell: 7.3



(4)
Computed, not measured: a geometry-optimized HfAlO3 structure at the GGA-PBEsol level of DFT.

a = 4.0428 Å, b = 4.0428 Å, c = 4.0428 Å
α = 90.00°, β = 90.00°, γ = 90.00°
Sites, in units of the cell vectors:
Hf  0.0000  0.0000  0.0000
Al  0.5000  0.5000  0.5000
O  0.0000  0.5000  0.0000
O  0.0000  0.0000  0.5000
O  0.5000  0.0000  0.0000

Values from the calculation:
Space group: Pm-3m
Uncorrected formation energy, eV/atom: -2.1453
D(E_F), states/eV/cell: 1.5



(5)
Computed, not measured: a geometry-optimized ZrPt2Cl structure at the GGA-PBEsol level of DFT.

a = 2.9258 Å, b = 4.5485 Å, c = 5.6956 Å
α = 113.53°, β = 104.88°, γ = 90.00°
Sites, in units of the cell vectors:
Zr  0.5000  0.0000  0.0000
Pt  0.7588  0.7588  0.5177
Pt  0.2412  0.2412  0.4823
Cl  0.0000  0.5000  0.0000

Values from the calculation:
ΔE to the lowest computed polymorph, meV/atom: 0
Space group: Immm
Uncorrected formation energy, eV/atom: -0.5989
D(E_F), states/eV/cell: 2.0



(6)
Computed, not measured: a geometry-optimized Cd2SnOs2 structure at the GGA-PBEsol level of DFT.

a = 3.8614 Å, b = 3.8614 Å, c = 6.9842 Å
α = 106.05°, β = 106.05°, γ = 90.00°
Sites, in units of the cell vectors:
Os  0.4086  0.4086  0.8172
Os  0.5914  0.5914  0.1828
Sn  0.0000  0.0000  0.0000
Cd  0.2500  0.7500  0.5000
Cd  0.7500  0.2500  0.5000

Values from the calculation:
Energy relative to the elements, eV/atom: 0.92
Space group: I4/mmm
D(E_F), states/eV/cell: 5.7



(7)
Computed, not measured: a geometry-optimized Tl3Co structure at the GGA-PBEsol level of DFT.

a = 3.1798 Å, b = 3.1798 Å, c = 8.6393 Å
α = 90.00°, β = 90.00°, γ = 90.04°
Site moments in Bohr magnetons follow the coordinates.
Sites, in units of the cell vectors:
Co  0.0000  0.0000  0.0000  0.83
Tl  0.5000  0.5000  0.8137  -0.01
Tl  0.0000  0.0000  0.5000  -0.01
Tl  0.5000  0.5000  0.1863  -0.01

Values from the calculation:
Energy relative to the elements, eV/atom: 0.35
Space group: P4/mmm
D(E_F), states/eV/cell: 3.7



(8)
Computed, not measured: a geometry-optimized TlSbAu2 structure at the GGA-PBEsol level of DFT.

a = 4.1592 Å, b = 4.1125 Å, c = 6.7194 Å
α = 107.89°, β = 90.00°, γ = 120.38°
Sites, in units of the cell vectors:
Sb  0.0000  0.0000  0.5000
Tl  0.5000  0.0000  0.0000
Au  0.7442  0.4884  0.7342
Au  0.2558  0.5116  0.2658

Values from the calculation:
ΔE to the lowest computed polymorph, meV/atom: 18
Space group: C2/m
Uncorrected formation energy, eV/atom: 0.0159
D(E_F), states/eV/cell: 1.8



(9)
Computed, not measured: a geometry-optimized IrPt2 structure at the GGA-PBEsol level of DFT.

a = 2.6487 Å, b = 4.4304 Å, c = 4.4304 Å
α = 120.00°, β = 90.00°, γ = 90.00°
Sites, in units of the cell vectors:
Ir  0.0000  0.0000  0.0000
Pt  0.5000  0.6667  0.3333
Pt  0.5000  0.3333  0.6667

Values from the calculation:
Energy relative to the elements, eV/atom: 0.32
ΔE to the lowest computed polymorph, meV/atom: 261
Space group: P6/mmm
D(E_F), states/eV/cell: 4.7



(10)
Computed, not measured: a geometry-optimized SrV4O10 structure at the GGA-PBEsol level of DFT.

a = 6.0907 Å, b = 7.3076 Å, c = 8.9219 Å
α = 89.90°, β = 87.61°, γ = 72.67°
Site moments in Bohr magnetons follow the coordinates.
Sites, in units of the cell vectors:
Sr  0.8187  0.2939  0.9792  0.00
Sr  0.1813  0.7061  0.0208  0.00
V  0.8753  0.5340  0.3404  0.50
V  0.5355  0.1187  0.6629  0.49
V  0.4645  0.8813  0.3371  0.49
V  0.1247  0.4660  0.6596  0.50
V  0.8739  0.0299  0.3404  0.56
V  0.5316  0.6144  0.6615  0.59
V  0.4684  0.3856  0.3385  0.59
V  0.1261  0.9701  0.6596  0.56
O  0.9228  0.0123  0.1559  -0.03
O  0.9168  0.5302  0.1552  -0.02
O  0.8353  0.5391  0.6016  -0.06
O  0.8337  0.0431  0.5962  -0.06
O  0.8017  0.3008  0.3616  -0.01
O  0.7989  0.8001  0.3696  -0.01
O  0.5614  0.1345  0.8417  -0.03
O  0.5462  0.5876  0.8451  -0.03
O  0.5313  0.6181  0.3937  0.00
O  0.5293  0.1176  0.3739  0.00
O  0.4707  0.8824  0.6261  0.00
O  0.4687  0.3819  0.6063  0.00
O  0.4538  0.4124  0.1549  -0.03
O  0.4386  0.8655  0.1583  -0.03
O  0.2011  0.1999  0.6304  -0.01
O  0.1983  0.6992  0.6384  -0.01
O  0.1663  0.9569  0.4038  -0.06
O  0.1647  0.4609  0.3984  -0.06
O  0.0832  0.4698  0.8448  -0.02
O  0.0772  0.9877  0.8441  -0.03

Values from the calculation:
Space group: P-1
Uncorrected formation energy, eV/atom: -2.5263
D(E_F), states/eV/cell: 3.1



(11)
Computed, not measured: a geometry-optimized AgRh2Se structure at the GGA-PBEsol level of DFT.

a = 2.8539 Å, b = 4.5274 Å, c = 4.7239 Å
α = 90.00°, β = 90.00°, γ = 90.00°
Sites, in units of the cell vectors:
Ag  0.0000  0.5000  0.5000
Rh  0.0000  0.0000  0.0000
Rh  0.5000  0.0000  0.5000
Se  0.5000  0.5000  0.0000

Values from the calculation:
Space group: Pmmm
Uncorrected formation energy, eV/atom: 0.3487
D(E_F), states/eV/cell: 4.3



(12)
Computed, not measured: a geometry-optimized Ca3NiC structure at the GGA-PBEsol level of DFT.

a = 5.0437 Å, b = 5.0437 Å, c = 5.0437 Å
α = 90.00°, β = 90.00°, γ = 90.00°
Site moments in Bohr magnetons follow the coordinates.
Sites, in units of the cell vectors:
Ni  0.0000  0.0000  0.0000  0.01
Ca  0.0000  0.5000  0.0000  -0.01
Ca  0.0000  0.0000  0.5000  -0.01
Ca  0.5000  0.0000  0.0000  -0.01
C  0.5000  0.5000  0.5000  0.20

Values from the calculation:
Energy relative to the elements, eV/atom: 1.07
Space group: Pm-3m
D(E_F), states/eV/cell: 3.4